1.
# Cd2PbS (GGA-PBEsol, relaxed)
# Formation energy (no corrections) (eV per atom): 0.24
# Magnetic moment (Bohr magnetons per cell): 0.00
# V (Å³ per atom): 22.777
# VASP energy (eV/atom): -2.4544
# DOS at the Fermi energy (states/eV per cell): 14.30
data_Cd2PbS
_symmetry_space_group_name_H-M 'F m -3 m'
_symmetry_Int_Tables_number 225
_symmetry_space_group_name_Hall '-F 4 2 3'
_cell_length_a 7.143
_cell_length_b 7.143
_cell_length_c 7.143
_cell_angle_alpha 90.00
_cell_angle_beta 90.00
_cell_angle_gamma 90.00
loop_
_atom_site_label
_atom_site_fract_x
_atom_site_fract_y
_atom_site_fract_z
_atom_site_occupancy
Cd1 0.250 0.250 0.250 1
Pb1 0.000 0.000 0.000 1
S1 0.000 0.000 0.500 1

***

2.
# TaCdPbS2 (GGA-PBEsol, relaxed)
# Formation energy (no corrections) (eV per atom): 1.19
# Magnetic moment (Bohr magnetons per cell): 0.00
# V (Å³ per atom): 24.543
# VASP energy (eV/atom): -4.1134
# DOS at the Fermi energy (states/eV per cell): 5.03
data_TaCdPbS2
_symmetry_space_group_name_H-M 'P 4/m m m'
_symmetry_Int_Tables_number 123
_symmetry_space_group_name_Hall '-P 4 2'
_cell_length_a 4.794
_cell_length_b 4.794
_cell_length_c 5.339
_cell_angle_alpha 90.00
_cell_angle_beta 90.00
_cell_angle_gamma 90.00
loop_
_atom_site_label
_atom_site_fract_x
_atom_site_fract_y
_atom_site_fract_z
_atom_site_occupancy
Ta1 0.000 0.000 0.000 1
Cd1 0.000 0.000 0.500 1
Pb1 0.500 0.500 0.000 1
S1 0.000 0.500 0.500 1

***

3.
# CdSbPb2 (GGA-PBEsol, relaxed)
# Formation energy (no corrections) (eV per atom): 0.07
# Magnetic moment (Bohr magnetons per cell): 0.00
# V (Å³ per atom): 27.254
# VASP energy (eV/atom): -3.3660
# DOS at the Fermi energy (states/eV per cell): 3.33
data_CdSbPb2
_symmetry_space_group_name_H-M 'C m m m'
_symmetry_Int_Tables_number 65
_symmetry_space_group_name_Hall '-C 2 2'
_cell_length_a 6.875
_cell_length_b 9.295
_cell_length_c 3.412
_cell_angle_alpha 90.00
_cell_angle_beta 90.00
_cell_angle_gamma 90.00
loop_
_atom_site_label
_atom_site_fract_x
_atom_site_fract_y
_atom_site_fract_z
_atom_site_occupancy
Cd1 0.000 0.000 0.000 1
Sb1 0.000 0.500 0.000 1
Pb1 0.250 0.250 0.500 1

***

4.
# CdSbPb2 (GGA-PBEsol, relaxed)
# Formation energy (no corrections) (eV per atom): 0.08
# Magnetic moment (Bohr magnetons per cell): 0.00
# V (Å³ per atom): 27.363
# VASP energy (eV/atom): -3.3584
# DOS at the Fermi energy (states/eV per cell): 4.46
data_CdSbPb2
_symmetry_space_group_name_H-M 'I 4/m m m'
_symmetry_Int_Tables_number 139
_symmetry_space_group_name_Hall '-I 4 2'
_cell_length_a 4.947
_cell_length_b 4.947
_cell_length_c 8.945
_cell_angle_alpha 90.00
_cell_angle_beta 90.00
_cell_angle_gamma 90.00
loop_
_atom_site_label
_atom_site_fract_x
_atom_site_fract_y
_atom_site_fract_z
_atom_site_occupancy
Cd1 0.000 0.000 0.000 1
Sb1 0.000 0.000 0.500 1
Pb1 0.000 0.500 0.250 1

***

5.
# CdSbPb2 (GGA-PBEsol, relaxed)
# Formation energy (no corrections) (eV per atom): 0.11
# Magnetic moment (Bohr magnetons per cell): 0.00
# V (Å³ per atom): 27.077
# VASP energy (eV/atom): -3.3282
# DOS at the Fermi energy (states/eV per cell): 6.25
data_CdSbPb2
_symmetry_space_group_name_H-M 'R -3 m'
_symmetry_Int_Tables_number 166
_symmetry_space_group_name_Hall '-R 3 2"'
_cell_length_a 3.3862
_cell_length_b 3.3862
_cell_length_c 32.7203
_cell_angle_alpha 90.00
_cell_angle_beta 90.00
_cell_angle_gamma 120.00
loop_
_atom_site_label
_atom_site_fract_x
_atom_site_fract_y
_atom_site_fract_z
_atom_site_occupancy
Cd1 0.0000 0.0000 0.0000 1
Sb1 0.0000 0.0000 0.5000 1
Pb1 0.0000 0.0000 0.2524 1

***

6.
# CdSbPb2 (GGA-PBEsol, relaxed)
# Formation energy (no corrections) (eV per atom): 0.07
# Magnetic moment (Bohr magnetons per cell): 0.00
# V (Å³ per atom): 27.169
# VASP energy (eV/atom): -3.3688
# DOS at the Fermi energy (states/eV per cell): 1.66
data_CdSbPb2
_symmetry_space_group_name_H-M 'P 1 m 1'
_symmetry_Int_Tables_number 6
_symmetry_space_group_name_Hall 'P -2y'
_cell_length_a 3.290
_cell_length_b 5.197
_cell_length_c 6.533
_cell_angle_alpha 90.00
_cell_angle_beta 103.37
_cell_angle_gamma 90.00
loop_
_atom_site_label
_atom_site_fract_x
_atom_site_fract_y
_atom_site_fract_z
_atom_site_occupancy
Cd1 0.000 0.000 0.000 1
Sb1 0.856 0.500 0.750 1
Pb1 0.250 0.000 0.505 1
Pb2 0.618 0.500 0.229 1

***

7.
# CdSbPb2 (GGA-PBEsol, relaxed)
# Formation energy (no corrections) (eV per atom): 0.06
# Magnetic moment (Bohr magnetons per cell): 0.00
# V (Å³ per atom): 27.263
# VASP energy (eV/atom): -3.3755
# DOS at the Fermi energy (states/eV per cell): 4.09
data_CdSbPb2
_symmetry_space_group_name_H-M 'I m m 2'
_symmetry_Int_Tables_number 44
_symmetry_space_group_name_Hall 'I 2 -2'
_cell_length_a 4.224
_cell_length_b 5.092
_cell_length_c 10.139
_cell_angle_alpha 90.00
_cell_angle_beta 90.00
_cell_angle_gamma 90.00
loop_
_atom_site_label
_atom_site_fract_x
_atom_site_fract_y
_atom_site_fract_z
_atom_site_occupancy
Cd1 0.000 0.000 0.000 1
Sb1 0.000 0.500 0.277 1
Pb1 0.000 0.000 0.518 1
Pb2 0.000 0.500 0.748 1

***

8.
# CdSbPb2 (GGA-PBEsol, relaxed)
# Formation energy (no corrections) (eV per atom): 0.07
# Magnetic moment (Bohr magnetons per cell): 0.00
# V (Å³ per atom): 27.396
# VASP energy (eV/atom): -3.3693
# DOS at the Fermi energy (states/eV per cell): 2.02
data_CdSbPb2
_symmetry_space_group_name_H-M 'P 4/m m m'
_symmetry_Int_Tables_number 123
_symmetry_space_group_name_Hall '-P 4 2'
_cell_length_a 5.052
_cell_length_b 5.052
_cell_length_c 4.293
_cell_angle_alpha 90.00
_cell_angle_beta 90.00
_cell_angle_gamma 90.00
loop_
_atom_site_label
_atom_site_fract_x
_atom_site_fract_y
_atom_site_fract_z
_atom_site_occupancy
Cd1 0.000 0.000 0.000 1
Sb1 0.500 0.500 0.000 1
Pb1 0.000 0.500 0.500 1

***

9.
# CdSbPb2 (GGA-PBEsol, relaxed)
# Formation energy (no corrections) (eV per atom): 0.07
# Magnetic moment (Bohr magnetons per cell): 0.00
# V (Å³ per atom): 27.191
# VASP energy (eV/atom): -3.3724
# DOS at the Fermi energy (states/eV per cell): 3.66
data_CdSbPb2
_symmetry_space_group_name_H-M 'C 1 m 1'
_symmetry_Int_Tables_number 8
_symmetry_space_group_name_Hall 'C -2y'
_cell_length_a 11.755
_cell_length_b 3.448
_cell_length_c 5.711
_cell_angle_alpha 90.00
_cell_angle_beta 109.96
_cell_angle_gamma 90.00
loop_
_atom_site_label
_atom_site_fract_x
_atom_site_fract_y
_atom_site_fract_z
_atom_site_occupancy
Cd1 0.000 0.000 0.000 1
Sb1 0.217 0.500 0.310 1
Pb1 0.254 0.000 0.833 1
Pb2 0.473 0.000 0.492 1

***

10.
# CdSbPb2 (GGA-PBEsol, relaxed)
# Formation energy (no corrections) (eV per atom): 0.09
# Magnetic moment (Bohr magnetons per cell): 0.00
# V (Å³ per atom): 26.902
# VASP energy (eV/atom): -3.3513
# DOS at the Fermi energy (states/eV per cell): 1.78
data_CdSbPb2
_symmetry_space_group_name_H-M 'P 4/m m m'
_symmetry_Int_Tables_number 123
_symmetry_space_group_name_Hall '-P 4 2'
_cell_length_a 3.340
_cell_length_b 3.340
_cell_length_c 9.646
_cell_angle_alpha 90.00
_cell_angle_beta 90.00
_cell_angle_gamma 90.00
loop_
_atom_site_label
_atom_site_fract_x
_atom_site_fract_y
_atom_site_fract_z
_atom_site_occupancy
Cd1 0.000 0.000 0.000 1
Sb1 0.000 0.000 0.500 1
Pb1 0.500 0.500 0.238 1

***

11.
# CdSb2Pb (GGA-PBEsol, relaxed)
# Formation energy (no corrections) (eV per atom): 0.09
# Magnetic moment (Bohr magnetons per cell): 0.00
# V (Å³ per atom): 26.503
# VASP energy (eV/atom): -3.4887
# DOS at the Fermi energy (states/eV per cell): 1.81
data_CdSb2Pb
_symmetry_space_group_name_H-M 'P m m m'
_symmetry_Int_Tables_number 47
_symmetry_space_group_name_Hall '-P 2 2'
_cell_length_a 3.933
_cell_length_b 4.008
_cell_length_c 6.726
_cell_angle_alpha 90.00
_cell_angle_beta 90.00
_cell_angle_gamma 90.00
loop_
_atom_site_label
_atom_site_fract_x
_atom_site_fract_y
_atom_site_fract_z
_atom_site_occupancy
Cd1 0.000 0.000 0.000 1
Sb1 0.500 0.500 0.223 1
Pb1 0.000 0.000 0.500 1

***

12.
# CdSbPb2 (GGA-PBEsol, relaxed)
# Formation energy (no corrections) (eV per atom): 0.07
# Magnetic moment (Bohr magnetons per cell): 0.00
# V (Å³ per atom): 27.393
# VASP energy (eV/atom): -3.3649
# DOS at the Fermi energy (states/eV per cell): 3.21
data_CdSbPb2
_symmetry_space_group_name_H-M 'I -4 m 2'
_symmetry_Int_Tables_number 119
_symmetry_space_group_name_Hall 'I -4 -2'
_cell_length_a 4.612
_cell_length_b 4.612
_cell_length_c 10.301
_cell_angle_alpha 90.00
_cell_angle_beta 90.00
_cell_angle_gamma 90.00
loop_
_atom_site_label
_atom_site_fract_x
_atom_site_fract_y
_atom_site_fract_z
_atom_site_occupancy
Cd1 0.000 0.000 0.000 1
Sb1 0.000 0.500 0.750 1
Pb1 0.000 0.000 0.500 1
Pb2 0.000 0.500 0.250 1